Density functional theory data (meta-GGA SCAN) for a PBEsol-optimized structure of NaSbAsBr2.

POSCAR file:
```
NaSbAsBr2
1.0
-3.028 -3.661 -1.525
-1.186 -0.996 4.743
-4.219 3.613 -0.296
Sb As Br Na
1 1 2 1
Direct
0.500 0.500 0.500
0.000 0.000 0.500
0.000 0.500 0.000
0.500 0.000 0.000
0.000 0.000 0.000
```

Output
* space-group type: No. 123
* total moment: 1.0 μB/f.u.
* E: -19.9108 eV/atom

---

Density functional theory data (meta-GGA SCAN) for a PBEsol-optimized structure of NaAsSeBr2.

POSCAR file:
```
NaAsSeBr2
1.0
4.758 0.000 0.000
0.000 5.737 0.000
0.000 0.000 5.737
Na As Se Br
1 1 1 2
Direct
0.500 0.500 0.500
0.500 0.000 0.000
0.000 0.000 0.000
0.000 0.000 0.500
0.000 0.500 0.000
```

Output
* space-group type: No. 123
* total moment: 0.0 μB/f.u.
* E: -16.7659 eV/atom

---

Density functional theory data (meta-GGA SCAN) for a PBEsol-optimized structure of NaSnAs2Br.

POSCAR file:
```
NaSnAs2Br
1.0
-2.177 -1.959 4.081
0.787 -4.624 -1.799
4.598 -0.145 2.384
Na As Sn Br
1 2 1 1
Direct
0.000 0.000 0.000
0.000 0.500 0.000
0.500 0.000 0.000
0.500 0.500 0.500
0.000 0.000 0.500
```

Output
* space-group type: No. 123
* total moment: 1.3 μB/f.u.
* E: -19.3747 eV/atom

---

Density functional theory data (meta-GGA SCAN) for a PBEsol-optimized structure of NaTaAs2Br.

POSCAR file:
```
NaTaAs2Br
1.0
-4.320 -1.568 0.643
0.790 -3.704 -3.722
1.771 -3.356 3.715
Na As Br Ta
1 2 1 1
Direct
0.500 0.500 0.500
0.000 0.000 0.500
0.000 0.500 0.000
0.000 0.000 0.000
0.500 0.000 0.000
```

Output
* space-group type: No. 123
* total moment: 1.2 μB/f.u.
* E: -24.8729 eV/atom

---

Density functional theory data (meta-GGA SCAN) for a PBEsol-optimized structure of NaTiAsBr2.

POSCAR file:
```
NaTiAsBr2
1.0
4.888 0.000 0.000
0.000 5.162 0.000
0.000 0.000 5.162
Na As Br Ti
1 1 2 1
Direct
0.500 0.500 0.500
0.500 0.000 0.000
0.000 0.000 0.500
0.000 0.500 0.000
0.000 0.000 0.000
```

Output
* space-group type: No. 123
* total moment: 0.0 μB/f.u.
* E: -16.6629 eV/atom

---

Density functional theory data (meta-GGA SCAN) for a PBEsol-optimized structure of NaTiAsBr2.

POSCAR file:
```
NaTiAsBr2
1.0
4.999 0.000 0.000
0.000 4.999 0.000
0.000 0.000 5.372
Na As Br Ti
1 1 2 1
Direct
0.000 0.000 0.000
0.000 0.000 0.500
0.000 0.500 0.000
0.500 0.000 0.000
0.500 0.500 0.500
```

Output
* space-group type: No. 123
* total moment: 0.0 μB/f.u.
* E: -15.7119 eV/atom